(1)
Here is MgZn2O after structural relaxation from Alexandria via LeMat-Bulk. Energies are from PBE.

Computed properties:
Its theoretical density is 3985 kg/m3. The calculation puts the final energy at -10.823 eV/f.u. Its raw formation energy is -0.431 eV/atom. The calculation puts the density of states at the Fermi level at 0.10 states/eV per cell. The volume comes out at 17.82 Å³ per atom. The space group is I-42d, No. 122. The crystal system is tetragonal. Its polymorph energy (0 for the lowest one) is 0.000 eV/f.u.

a = 5.9717 Å, b = 5.9717 Å, c = 5.8155 Å
α = 59.11°, β = 59.11°, γ = 90.00°
Sites, in units of the cell vectors:
Mg1 0.7500 0.2500 0.5000
Mg2 0.0000 0.0000 0.0000
Zn1 0.5311 0.1250 0.2500
Zn2 0.8750 0.7811 0.7500
Zn3 0.3750 0.4689 0.7500
Zn4 0.2189 0.6250 0.2500
O1 0.2500 0.7500 0.5000
O2 0.5000 0.5000 0.0000

=====

(2)
Here is AlHgBr after structural relaxation from Alexandria via LeMat-Bulk. Energies are from PBE.

Computed properties:
Its theoretical density is 5834 kg/m3. The calculation puts the final energy at -6.025 eV/f.u. Its raw formation energy is -0.103 eV/atom. The calculation puts the density of states at the Fermi level at 0.33 states/eV per cell. The volume comes out at 29.17 Å³ per atom. The space group is Fmm2, No. 42. The crystal system is orthorhombic. Its polymorph energy (0 for the lowest one) is 0.187 eV/f.u.

a = 8.6251 Å, b = 8.2790 Å, c = 3.5084 Å
α = 83.62°, β = 72.54°, γ = 23.84°
Sites, in units of the cell vectors:
Al1 0.9874 0.9874 0.0126
Br1 0.3717 0.3717 0.6283
Hg1 0.6409 0.6409 0.3591

=====

(3)
Here is CaAl2 after structural relaxation from Alexandria via LeMat-Bulk. Energies are from PBE.

Computed properties:
Its theoretical density is 2426 kg/m3. The calculation puts the final energy at -10.496 eV/f.u. The calculation puts the density of states at the Fermi level at 3.80 states/eV per cell. The volume comes out at 21.45 Å³ per atom. The space group is Fd-3m, No. 227. The crystal system is cubic. The calculation puts the formation energy at -1.009 eV/f.u.

a = 5.6676 Å, b = 5.6676 Å, c = 5.6676 Å
α = 60.00°, β = 60.00°, γ = 60.00°
Sites, in units of the cell vectors:
Al1 0.1250 0.6250 0.6250
Al2 0.6250 0.6250 0.6250
Al3 0.6250 0.1250 0.6250
Al4 0.6250 0.6250 0.1250
Ca1 0.0000 0.0000 0.0000
Ca2 0.2500 0.2500 0.2500

=====

(4)
Here is K2LiZnPb after structural relaxation from Alexandria via LeMat-Bulk. Energies are from PBE.

Computed properties:
Its theoretical density is 3032 kg/m3. The calculation puts the final energy at -7.878 eV/f.u. The calculation puts the density of states at the Fermi level at 3.27 states/eV per cell. The volume comes out at 39.19 Å³ per atom. The space group is P4/mmm, No. 123. The crystal system is tetragonal. The calculation puts the formation energy at 1.214 eV/f.u.

a = 6.2801 Å, b = 4.9680 Å, c = 6.2801 Å
α = 90.00°, β = 90.00°, γ = 90.00°
Sites, in units of the cell vectors:
Li1 0.0000 0.5000 0.0000
K1 0.0000 0.0000 0.5000
K2 0.5000 0.0000 0.0000
Pb1 0.5000 0.5000 0.5000
Zn1 0.0000 0.0000 0.0000

=====

(5)
Here is NbInN3 after structural relaxation from Alexandria via LeMat-Bulk. Energies are from PBE.

Computed properties:
Its theoretical density is 6394 kg/m3. The calculation puts the final energy at -28.943 eV/f.u. Its raw formation energy is 1.768 eV/atom. The calculation puts the density of states at the Fermi level at 3.35 states/eV per cell. The volume comes out at 12.97 Å³ per atom. The space group is Pm-3m, No. 221. The crystal system is cubic.

a = 4.0179 Å, b = 4.0179 Å, c = 4.0179 Å
α = 90.00°, β = 90.00°, γ = 90.00°
Sites, in units of the cell vectors:
N1 0.0000 0.0000 0.5000
N2 0.0000 0.5000 0.0000
N3 0.5000 0.0000 0.0000
In1 0.0000 0.0000 0.0000
Nb1 0.5000 0.5000 0.5000

=====

(6)
Here is LaHo3Ga2 after structural relaxation from Alexandria via LeMat-Bulk. Energies are from PBE.

Computed properties:
Its theoretical density is 8080 kg/m3. The calculation puts the final energy at -27.169 eV/f.u. The calculation puts the density of states at the Fermi level at 11.71 states/eV per cell. The volume comes out at 26.48 Å³ per atom. The space group is Pmc2_1, No. 26. The crystal system is orthorhombic. Its polymorph energy (0 for the lowest one) is 0.000 eV/f.u. The calculation puts the formation energy at -2.455 eV/f.u.

a = 4.9959 Å, b = 6.6097 Å, c = 9.6240 Å
α = 90.00°, β = 90.00°, γ = 90.00°
Sites, in units of the cell vectors:
Ho1 0.0000 0.9644 0.0541
Ho2 0.5000 0.6688 0.1722
Ho3 0.5000 0.1688 0.8278
Ho4 0.0000 0.4644 0.9459
Ho5 0.0000 0.3309 0.3088
Ho6 0.0000 0.8309 0.6912
Ga1 0.0000 0.2835 0.6460
Ga2 0.5000 0.7107 0.8630
Ga3 0.0000 0.7835 0.3540
Ga4 0.5000 0.2107 0.1370
La1 0.5000 0.0417 0.4516
La2 0.5000 0.5417 0.5484

=====

(7)
Here is MnBeN3 after structural relaxation from Alexandria via LeMat-Bulk. Energies are from PBE.

Computed properties:
Its theoretical density is 4625 kg/m3. The calculation puts the final energy at -30.618 eV/f.u. Its raw formation energy is 1.451 eV/atom. The calculation puts the density of states at the Fermi level at 6.89 states/eV per cell. The volume comes out at 7.61 Å³ per atom. The space group is Pm-3m, No. 221. The crystal system is cubic.

a = 3.3633 Å, b = 3.3633 Å, c = 3.3633 Å
α = 90.00°, β = 90.00°, γ = 90.00°
Sites, in units of the cell vectors:
N1 0.5000 0.0000 0.0000
N2 0.0000 0.5000 0.0000
N3 0.0000 0.0000 0.5000
Mn1 0.5000 0.5000 0.5000
Be1 0.0000 0.0000 0.0000

=====

(8)
Here is Nb2CuAgCl after structural relaxation from Alexandria via LeMat-Bulk. Energies are from PBE.

Computed properties:
Its theoretical density is 5171 kg/m3. The calculation puts the final energy at -19.390 eV/f.u. Its raw formation energy is 1.909 eV/atom. The calculation puts the density of states at the Fermi level at 6.43 states/eV per cell. The volume comes out at 25.22 Å³ per atom. The space group is P4/mmm, No. 123. The crystal system is tetragonal. Its polymorph energy (0 for the lowest one) is 1.771 eV/f.u.

a = 5.1097 Å, b = 4.8295 Å, c = 5.1097 Å
α = 90.00°, β = 90.00°, γ = 90.00°
Sites, in units of the cell vectors:
Nb1 0.0000 0.0000 0.5000
Nb2 0.5000 0.0000 0.0000
Ag1 0.0000 0.0000 0.0000
Cu1 0.5000 0.5000 0.5000
Cl1 0.0000 0.5000 0.0000

=====

(9)
Here is NbSiNi after structural relaxation from Alexandria via LeMat-Bulk. Energies are from PBE.

Computed properties:
Its theoretical density is 6953 kg/m3. The calculation puts the final energy at -22.487 eV/f.u. Its raw formation energy is -0.404 eV/atom. The calculation puts the density of states at the Fermi level at 8.06 states/eV per cell. The volume comes out at 14.30 Å³ per atom. The space group is Cm, No. 8. The crystal system is monoclinic.

a = 5.5826 Å, b = 3.5252 Å, c = 8.8714 Å
α = 90.00°, β = 100.52°, γ = 90.00°
Sites, in units of the cell vectors:
Nb1 0.4230 0.5000 0.4648
Nb2 0.4230 0.0000 0.9648
Nb3 0.7072 0.5000 0.1831
Nb4 0.7072 0.0000 0.6831
Ni1 0.0340 0.5000 0.8390
Ni2 0.1641 0.0000 0.6356
Ni3 0.1641 0.5000 0.1356
Ni4 0.0340 0.0000 0.3390
Si1 0.4044 0.5000 0.7560
Si2 0.4044 0.0000 0.2560
Si3 0.9203 0.0000 0.0007
Si4 0.9203 0.5000 0.5007

=====

(10)
Here is Sr2CdAuN after structural relaxation from Alexandria via LeMat-Bulk. Energies are from PBE.

Computed properties:
Its theoretical density is 6675 kg/m3. The calculation puts the final energy at -17.922 eV/f.u. Its raw formation energy is -0.408 eV/atom. The calculation puts the density of states at the Fermi level at 3.62 states/eV per cell. The volume comes out at 24.81 Å³ per atom. The space group is P4/mmm, No. 123. The crystal system is tetragonal.

a = 5.2754 Å, b = 5.2754 Å, c = 4.4570 Å
α = 90.00°, β = 90.00°, γ = 90.00°
Sites, in units of the cell vectors:
Cd1 0.0000 0.0000 0.5000
Au1 0.5000 0.5000 0.5000
N1 0.0000 0.0000 0.0000
Sr1 0.0000 0.5000 0.0000
Sr2 0.5000 0.0000 0.0000

=====

(11)
Here is Ac6Pm2PrNd after structural relaxation from Alexandria via LeMat-Bulk. Energies are from PBE.

Computed properties:
Its theoretical density is 7712 kg/m3. The calculation puts the final energy at -41.690 eV/f.u. The calculation puts the density of states at the Fermi level at 19.03 states/eV per cell. The volume comes out at 41.71 Å³ per atom. The space group is C2/m, No. 12. The crystal system is monoclinic. The calculation puts the formation energy at 2.009 eV/f.u.

a = 9.4899 Å, b = 7.5881 Å, c = 7.0876 Å
α = 122.36°, β = 102.31°, γ = 90.00°
Sites, in units of the cell vectors:
Ac1 0.2044 0.5930 0.6681
Ac2 0.2044 0.0752 0.6681
Ac3 0.7956 0.9248 0.3319
Ac4 0.7956 0.4071 0.3319
Ac5 0.5832 0.3651 0.7302
Ac6 0.4168 0.6349 0.2698
Nd1 0.5000 0.0000 0.0000
Pr1 0.0000 0.5000 0.0000
Pm1 0.1588 0.0900 0.1801
Pm2 0.8412 0.9100 0.8199

=====

(12)
Here is K3HoP2O8 after structural relaxation from Alexandria via LeMat-Bulk. Energies are from PBE.

Computed properties:
Its theoretical density is 3884 kg/m3. The calculation puts the final energy at -94.615 eV/f.u. Its raw formation energy is -2.590 eV/atom. The calculation puts the density of states at the Fermi level at 0.00 states/eV per cell. The volume comes out at 14.42 Å³ per atom. The space group is P2_1/m, No. 11. The crystal system is monoclinic.

a = 5.6937 Å, b = 7.5200 Å, c = 9.4323 Å
α = 88.85°, β = 90.00°, γ = 90.00°
Sites, in units of the cell vectors:
K1 0.7500 0.5022 0.8081
K2 0.2500 0.6408 0.5861
K3 0.2500 0.2057 0.9180
K4 0.2500 0.4978 0.1919
K5 0.7500 0.7943 0.0820
K6 0.7500 0.3592 0.4139
P1 0.2500 0.7743 0.9090
P2 0.7500 0.2257 0.0910
P3 0.2500 0.1829 0.5714
P4 0.7500 0.8171 0.4286
O1 0.7500 0.0163 0.4665
O2 0.5264 0.1477 0.1660
O3 0.9729 0.7701 0.3400
O4 0.9736 0.1477 0.1660
O5 0.4736 0.8523 0.8340
O6 0.4729 0.2299 0.6600
O7 0.2500 0.8301 0.0675
O8 0.7500 0.4296 0.1035
O9 0.7500 0.7132 0.5736
O10 0.5271 0.7701 0.3400
O11 0.2500 0.5704 0.8965
O12 0.0271 0.2299 0.6600
O13 0.0264 0.8523 0.8340
O14 0.2500 0.9837 0.5335
O15 0.2500 0.2868 0.4264
O16 0.7500 0.1699 0.9325
Ho1 0.7500 0.0065 0.7131
Ho2 0.2500 0.9935 0.2869

=====

| no. | M_tot (μB per formula unit) |
| --- | --- |
| 1 | 0.000 |
| 2 | 0.000 |
| 3 | 0.000 |
| 4 | 0.000 |
| 5 | 0.000 |
| 6 | 0.000 |
| 7 | 0.015 |
| 8 | 2.658 |
| 9 | 0.000 |
| 10 | 0.000 |
| 11 | 0.000 |
| 12 | 0.000 |